Computed, not measured: an optimized crystal structure of Be2CoPb at the GGA-PBE level of DFT.

Formation enthalpy at 0 K   21 kJ/mol of atoms
M_tot   0.0 μB/f.u.

```
data_Be2CoPb
_chemical_formula_sum 'Be4 Co2 Pb2'
_symmetry_space_group_name_H-M 'C 1 2/m 1'
_symmetry_Int_Tables_number 12
_symmetry_space_group_name_Hall '-C 2y'
_cell_length_a 6.645
_cell_length_b 3.871
_cell_length_c 4.934
_cell_angle_alpha 90.00
_cell_angle_beta 102.60
_cell_angle_gamma 90.00
loop_
_atom_site_label
_atom_site_type_symbol
_atom_site_fract_x
_atom_site_fract_y
_atom_site_fract_z
Be1 Be 0.164 0.000 0.492
Co1 Co 0.000 0.500 0.500
Pb1 Pb 0.000 0.500 0.000
```